Computed, not measured: a geometry-optimized BaSiNi2 structure at the GGA-PBEsol level of DFT.

Properties
For the energy, the calculation gives -5.496 eV per atom. As for the uncorrected formation energy: -0.443 eV/atom. The calculated volume is 77 Å³/f.u. As for the space group: R-3m, No. 166.

Unit cell a=3.997 b=3.997 c=6.025 alpha=70.63 beta=70.63 gamma=60.00
Atoms (fractional coordinates):
Ni: 0.689 0.689 0.932
Ba: 0.500 0.500 0.500
Ni: 0.311 0.311 0.068
Si: 0.000 0.000 0.000


Computed, not measured: a geometry-optimized NiHg2Sb structure at the GGA-PBEsol level of DFT.

Properties
For the energy, the calculation gives -2.594 eV per atom. As for the uncorrected formation energy: 0.368 eV/atom. The calculated volume is 79 Å³/f.u. As for the space group: F-43m, No. 216.

Unit cell a=4.817 b=4.817 c=4.817 alpha=60.00 beta=60.00 gamma=60.00
Atoms (fractional coordinates):
Hg: 0.000 0.000 0.000
Hg: 0.750 0.750 0.750
Sb: 0.250 0.250 0.250
Ni: 0.500 0.500 0.500


Computed, not measured: a geometry-optimized Li3W2N5 structure at the GGA-PBEsol level of DFT.

Properties
For the energy, the calculation gives -8.203 eV per atom. As for the uncorrected formation energy: -0.588 eV/atom. The calculated volume is 131 Å³/f.u. As for the space group: I4_1, No. 80.

Unit cell a=8.240 b=8.984 c=8.984 alpha=77.86 beta=62.70 gamma=62.70
Atoms (fractional coordinates):
W: 0.232 0.384 0.235
Li: 0.725 0.355 0.165
Li: 0.640 0.335 0.855
W: 0.366 0.735 0.116
N: 0.628 0.709 0.967
N: 0.652 0.873 0.321
W: 0.217 0.265 0.884
Li: 0.353 0.500 0.500
N: 0.847 0.127 0.679
Li: 0.017 0.275 0.601
N: 0.969 0.505 0.311
N: 0.931 0.771 0.587
N: 0.492 0.401 0.669
N: 0.562 0.599 0.331
N: 0.276 0.821 0.627
W: 0.432 0.813 0.390
N: 0.224 0.811 0.995
N: 0.087 0.467 0.791
Li: 0.368 0.899 0.775
Li: 0.245 0.645 0.835
Li: 0.603 0.000 0.000
Li: 0.710 0.500 0.500
N: 0.452 0.087 0.729
W: 0.995 0.890 0.687
N: 0.643 0.169 0.099
W: 0.851 0.616 0.765
N: 0.268 0.913 0.271
W: 0.572 0.110 0.313
N: 0.785 0.495 0.689
Li: 0.830 0.665 0.145
Li: 0.960 0.000 0.000
N: 0.304 0.291 0.033
W: 0.635 0.187 0.610
N: 0.289 0.229 0.413
N: 0.911 0.831 0.901
N: 0.345 0.533 0.209
N: 0.724 0.179 0.373
N: 0.031 0.189 0.005
Li: 0.892 0.725 0.399
Li: 0.042 0.101 0.225


Computed, not measured: a geometry-optimized Co2P structure at the GGA-PBEsol level of DFT.

Properties
For the energy, the calculation gives -7.712 eV per atom. The calculated volume is 31 Å³/f.u. As for the space group: Pnma, No. 62. The value obtained for the energy relative to the elements is -60 kJ/mol of atoms.

Unit cell a=3.469 b=5.405 c=6.532 alpha=90.00 beta=90.00 gamma=90.00
Atoms (fractional coordinates):
P: 0.250 0.249 0.879
P: 0.750 0.251 0.379
Co: 0.750 0.967 0.829
Co: 0.250 0.533 0.329
Co: 0.750 0.354 0.065
Co: 0.750 0.854 0.435
P: 0.250 0.749 0.621
Co: 0.250 0.146 0.565
Co: 0.250 0.033 0.171
Co: 0.250 0.646 0.935
P: 0.750 0.751 0.121
Co: 0.750 0.467 0.671


Computed, not measured: a geometry-optimized Zn2Ag structure at the GGA-PBEsol level of DFT.

Properties
For the energy, the calculation gives -2.137 eV per atom. The calculated volume is 47 Å³/f.u. As for the space group: I4_1/amd, No. 141. The value obtained for the energy relative to the elements is 2 kJ/mol of atoms.

Unit cell a=2.749 b=2.749 c=12.471 alpha=96.33 beta=96.33 gamma=90.00
Atoms (fractional coordinates):
Zn: 0.581 0.581 0.162
Ag: 0.000 0.000 0.000
Ag: 0.250 0.750 0.500
Zn: 0.831 0.331 0.662
Zn: 0.419 0.419 0.838
Zn: 0.669 0.169 0.338


Computed, not measured: a geometry-optimized BaTc2W structure at the GGA-PBEsol level of DFT.

Properties
For the energy, the calculation gives -8.770 eV per atom. The calculated volume is 90 Å³/f.u. As for the space group: Cm, No. 8. The value obtained for the energy relative to the elements is 82 kJ/mol of atoms.

Unit cell a=3.175 b=4.991 c=6.192 alpha=103.64 beta=90.00 gamma=108.55
Atoms (fractional coordinates):
Tc: 0.250 0.500 0.756
Ba: 0.744 0.488 0.243
W: 0.542 0.084 0.627
Tc: 0.964 0.928 0.874